(1)
# PBE CePm2Mg2In2, optimized geometry
data_CePm2Mg2In2
_chemical_formula_sum 'Ce1 Pm2 Mg2 In2'
_cell_length_a 5.0938
_cell_length_b 5.0938
_cell_length_c 9.2135
_cell_angle_alpha 73.95
_cell_angle_beta 73.95
_cell_angle_gamma 60.00
_space_group_name_H-M_alt 'P 1'
_space_group_IT_number 1
_space_group_name_Hall 'P 1'
loop_
_atom_site_label
_atom_site_type_symbol
_atom_site_fract_x
_atom_site_fract_y
_atom_site_fract_z
In1 In 0.2645 0.2645 0.2066
Mg1 Mg 0.6014 0.6014 0.1958
Pm1 Pm 0.8720 0.8720 0.3840
Mg2 Mg 0.3986 0.3986 0.8042
Pm2 Pm 0.1280 0.1280 0.6160
In2 In 0.7355 0.7355 0.7934
Ce1 Ce 0.0000 0.0000 0.0000
# Crystal system: trigonal
# Magnetic moment: 1.21 μB per cell
# ΔE_f: -0.2149 eV/atom
# DOS(E_F): 9.4 states/eV/cell
# Space group: R-3m, No. 166
# ρ: 6.0 g/cm3

---

(2)
# PBE Ce2PrMg2In2, optimized geometry
data_Ce2PrMg2In2
_chemical_formula_sum 'Ce2 Pr1 Mg2 In2'
_cell_length_a 4.8576
_cell_length_b 4.8576
_cell_length_c 9.6440
_cell_angle_alpha 75.41
_cell_angle_beta 75.41
_cell_angle_gamma 60.00
_space_group_name_H-M_alt 'P 1'
_space_group_IT_number 1
_space_group_name_Hall 'P 1'
loop_
_atom_site_label
_atom_site_type_symbol
_atom_site_fract_x
_atom_site_fract_y
_atom_site_fract_z
Mg1 Mg 0.5876 0.5876 0.2373
In1 In 0.2656 0.2656 0.2032
Mg2 Mg 0.4124 0.4124 0.7627
Ce1 Ce 0.1449 0.1449 0.5652
In2 In 0.7344 0.7344 0.7968
Pr1 Pr 0.0000 0.0000 0.0000
Ce2 Ce 0.8551 0.8551 0.4348
# Crystal system: trigonal
# Magnetic moment: 2.13 μB per cell
# ΔE_f: -0.2030 eV/atom
# DOS(E_F): 12.3 states/eV/cell
# Space group: R-3m, No. 166
# ρ: 6.2 g/cm3

---

(3)
# PBE CePr2Mg2In2, optimized geometry
data_CePr2Mg2In2
_chemical_formula_sum 'Ce1 Pr2 Mg2 In2'
_cell_length_a 5.1118
_cell_length_b 5.1118
_cell_length_c 9.3167
_cell_angle_alpha 74.08
_cell_angle_beta 74.08
_cell_angle_gamma 60.00
_space_group_name_H-M_alt 'P 1'
_space_group_IT_number 1
_space_group_name_Hall 'P 1'
loop_
_atom_site_label
_atom_site_type_symbol
_atom_site_fract_x
_atom_site_fract_y
_atom_site_fract_z
Ce1 Ce 0.0000 0.0000 0.0000
Mg1 Mg 0.3964 0.3964 0.8107
Pr1 Pr 0.1277 0.1277 0.6169
Mg2 Mg 0.6036 0.6036 0.1893
In1 In 0.7342 0.7342 0.7975
Pr2 Pr 0.8723 0.8723 0.3831
In2 In 0.2658 0.2658 0.2025
# Crystal system: trigonal
# Magnetic moment: 1.19 μB per cell
# ΔE_f: -0.2237 eV/atom
# DOS(E_F): 9.5 states/eV/cell
# Space group: R-3m, No. 166
# ρ: 5.8 g/cm3

---

(4)
# PBE CePuMgIn, optimized geometry
data_CePuMgIn
_chemical_formula_sum 'Ce1 Pu1 Mg1 In1'
_cell_length_a 5.2569
_cell_length_b 5.2569
_cell_length_c 5.2569
_cell_angle_alpha 60.00
_cell_angle_beta 60.00
_cell_angle_gamma 60.00
_space_group_name_H-M_alt 'P 1'
_space_group_IT_number 1
_space_group_name_Hall 'P 1'
loop_
_atom_site_label
_atom_site_type_symbol
_atom_site_fract_x
_atom_site_fract_y
_atom_site_fract_z
Pu1 Pu 0.2500 0.2500 0.2500
Ce1 Ce 0.5000 0.5000 0.5000
Mg1 Mg 0.7500 0.7500 0.7500
In1 In 0.0000 0.0000 0.0000
# Crystal system: cubic
# Magnetic moment: 8.42 μB per cell
# ΔE_f: -0.0112 eV/atom
# DOS(E_F): 8.4 states/eV/cell
# Space group: F-43m, No. 216
# ρ: 8.5 g/cm3

---

(5)
# PBE CeMgInRh, optimized geometry
data_CeMgInRh
_chemical_formula_sum 'Ce1 Mg1 In1 Rh1'
_cell_length_a 4.9651
_cell_length_b 4.9651
_cell_length_c 4.9651
_cell_angle_alpha 60.00
_cell_angle_beta 60.00
_cell_angle_gamma 60.00
_space_group_name_H-M_alt 'P 1'
_space_group_IT_number 1
_space_group_name_Hall 'P 1'
loop_
_atom_site_label
_atom_site_type_symbol
_atom_site_fract_x
_atom_site_fract_y
_atom_site_fract_z
Mg1 Mg 0.0000 0.0000 0.0000
Rh1 Rh 0.7500 0.7500 0.7500
Ce1 Ce 0.5000 0.5000 0.5000
In1 In 0.2500 0.2500 0.2500
# Crystal system: cubic
# Magnetic moment: 0.28 μB per cell
# ΔE_f: -0.3484 eV/atom
# DOS(E_F): 5.0 states/eV/cell
# Space group: F-43m, No. 216
# ρ: 7.3 g/cm3

---

(6)
# PBE CeMgInRu, optimized geometry
data_CeMgInRu
_chemical_formula_sum 'Ce1 Mg1 In1 Ru1'
_cell_length_a 4.8777
_cell_length_b 4.8777
_cell_length_c 4.8777
_cell_angle_alpha 60.00
_cell_angle_beta 60.00
_cell_angle_gamma 60.00
_space_group_name_H-M_alt 'P 1'
_space_group_IT_number 1
_space_group_name_Hall 'P 1'
loop_
_atom_site_label
_atom_site_type_symbol
_atom_site_fract_x
_atom_site_fract_y
_atom_site_fract_z
Mg1 Mg 0.2500 0.2500 0.2500
Ce1 Ce 0.0000 0.0000 0.0000
In1 In 0.5000 0.5000 0.5000
Ru1 Ru 0.7500 0.7500 0.7500
# Crystal system: cubic
# Magnetic moment: 0.00 μB per cell
# ΔE_f: -0.1229 eV/atom
# DOS(E_F): 5.8 states/eV/cell
# Space group: F-43m, No. 216
# ρ: 7.7 g/cm3